Crystalline HfTiFe2O6 at its relaxed geometry, computed with PBE+U.

Values from the calculation:
**Final energy**: -83.949 eV/f.u.

a = 5.272 Å, b = 5.294 Å, c = 5.639 Å
α = 62.09°, β = 61.63°, γ = 59.80°
Last column: magnetic moment on the atom in μB.
Positions (direct):
Hf1 0.811 0.818 0.558  0.01
Ti1 0.310 0.310 0.064  0.04
Fe1 0.529 0.517 0.432  3.75
Fe2 0.027 0.027 0.924  3.78
O1 0.591 0.204 0.245  0.04
O2 0.205 0.957 0.251  0.04
O3 0.946 0.581 0.257  0.04
O4 0.433 0.704 0.768  0.05
O5 0.697 0.103 0.764  0.05
O6 0.113 0.443 0.751  0.05